Here is crystalline La2CoO4 at its relaxed geometry from OQMD. Energies are from PBE+U.

Computed properties:
Space-group type ... Fmmm (69)
Total DFT energy (no corrections) ... -7.61 eV per atom

Cell: 6.891 6.889 3.874 Å, 73.70 73.64 32.66°
Element x y z (fractional)
1 La 0.138 0.138 0.862
2 La 0.862 0.862 0.138
3 Co 0.500 0.500 0.500
4 O 0.000 0.000 0.500
5 O 0.319 0.319 0.681
6 O 0.500 0.500 0.000
7 O 0.681 0.681 0.319